# SCAN Ba2TlRe, single point on PBEsol structure
# Energy above the most stable polymorph in this dataset   0 meV per atom
# E_form   0.62 eV per atom
# Electronic total energy   -55.02 eV per atom
# Magnetic moment   0.00 μB/cell
data_Ba2TlRe
_cell_length_a 3.8706
_cell_length_b 5.6050
_cell_length_c 11.1529
_cell_angle_alpha 90.00
_cell_angle_beta 90.00
_cell_angle_gamma 90.00
_space_group_name_H-M_alt 'I m m 2'
_space_group_IT_number 44
loop_
_space_group_symop_operation_xyz
'x,y,z'
'-x,-y,z'
'-x,y,z'
'x,-y,z'
'x+1/2,y+1/2,z+1/2'
'-x+1/2,-y+1/2,z+1/2'
'-x+1/2,y+1/2,z+1/2'
'x+1/2,-y+1/2,z+1/2'
loop_
_atom_site_label
_atom_site_type_symbol
_atom_site_fract_x
_atom_site_fract_y
_atom_site_fract_z
Ba1 Ba 0.0000 0.0000 0.0000
Ba2 Ba 0.0000 0.5000 0.1907
Tl1 Tl 0.0000 0.5000 0.7851
Re1 Re 0.0000 0.0000 0.4550